# 1
An optimized crystal structure of Ac2Mg4SnGe3. Source: Alexandria, functional GGA-PBE.

Cell: 4.7627 4.7627 11.0558 Å, 90.00 90.00 90.00°
Space group P-4m2 (No. 115)
Inequivalent atoms, fractional coordinates:
Ac (0.0000, 0.5000, 0.2365)
Mg (0.0000, 0.0000, 0.5000)
Mg (0.0000, 0.5000, 0.8714)
Mg (0.5000, 0.5000, 0.5000)
Sn (0.5000, 0.5000, 0.0000)
Ge (0.0000, 0.0000, 0.0000)
Ge (0.0000, 0.5000, 0.6342)

## Properties
Size of the total moment   0.00 μB/f.u.
Density of states at the Fermi level   2.46 states/eV/f.u.
Formation energy from the elements   -0.446 eV per atom
Uncorrected energy   -36.915 eV/cell


# 2
An optimized crystal structure of Ac2Mg4Sn3Ge. Source: Alexandria, functional GGA-PBE.

Cell: 4.8968 4.8968 11.3831 Å, 90.00 90.00 90.00°
Space group P-4m2 (No. 115)
Inequivalent atoms, fractional coordinates:
Ac (0.0000, 0.5000, 0.2287)
Mg (0.0000, 0.0000, 0.5000)
Mg (0.0000, 0.5000, 0.8859)
Mg (0.5000, 0.5000, 0.5000)
Sn (0.0000, 0.0000, 0.0000)
Sn (0.0000, 0.5000, 0.6427)
Ge (0.5000, 0.5000, 0.0000)

## Properties
Size of the total moment   0.00 μB/f.u.
Density of states at the Fermi level   1.81 states/eV/f.u.
Formation energy from the elements   -0.447 eV per atom
Uncorrected energy   -35.689 eV/cell


# 3
An optimized crystal structure of SrAcMg2Ge2. Source: Alexandria, functional GGA-PBE.

Cell: 4.6641 4.6641 8.7802 Å, 90.00 90.00 120.00°
Space group P-3m1 (No. 164)
Inequivalent atoms, fractional coordinates:
Sr (0.0000, 0.0000, 0.0000)
Ac (0.0000, 0.0000, 0.5000)
Mg (0.3333, 0.6667, 0.2480)
Ge (0.3333, 0.6667, 0.7478)

## Properties
Size of the total moment   0.00 μB/f.u.
Density of states at the Fermi level   2.13 states/eV/f.u.
Formation energy from the elements   -0.496 eV per atom
Uncorrected energy   -21.188 eV/cell